1.
# Rb2P2Br, relaxed, DFT PBE
data_Rb2P2Br
_chemical_formula_sum 'Rb4 P4 Br2'
_cell_length_a 6.400
_cell_length_b 6.400
_cell_length_c 9.636
_cell_angle_alpha 90.00
_cell_angle_beta 90.00
_cell_angle_gamma 90.00
_space_group_name_H-M_alt 'I 4/m m m'
_space_group_IT_number 139
_space_group_name_Hall '-I 4 2'
loop_
_atom_site_label
_atom_site_type_symbol
_atom_site_fract_x
_atom_site_fract_y
_atom_site_fract_z
Rb1 Rb 0.000 0.500 0.250
P1 P 0.000 0.000 0.102
Br1 Br 0.000 0.000 0.500
# - E_tot (eV/atom) = -3.4335

2.
# RbPBr2, relaxed, DFT PBE
data_RbPBr2
_chemical_formula_sum 'Rb3 P3 Br6'
_cell_length_a 4.6945
_cell_length_b 4.6945
_cell_length_c 25.7626
_cell_angle_alpha 90.00
_cell_angle_beta 90.00
_cell_angle_gamma 120.00
_space_group_name_H-M_alt 'R -3 m'
_space_group_IT_number 166
_space_group_name_Hall '-R 3 2"'
loop_
_atom_site_label
_atom_site_type_symbol
_atom_site_fract_x
_atom_site_fract_y
_atom_site_fract_z
Rb1 Rb 0.0000 0.0000 0.0000
P1 P 0.0000 0.0000 0.5000
Br1 Br 0.0000 0.0000 0.1242
# - E_tot (eV/atom) = -2.3762

3.
# Rb2RePBr6, relaxed, DFT PBE
data_Rb2RePBr6
_chemical_formula_sum 'Rb4 Re2 P2 Br12'
_cell_length_a 7.664
_cell_length_b 7.664
_cell_length_c 11.544
_cell_angle_alpha 90.00
_cell_angle_beta 90.00
_cell_angle_gamma 90.00
_space_group_name_H-M_alt 'I 4/m m m'
_space_group_IT_number 139
_space_group_name_Hall '-I 4 2'
loop_
_atom_site_label
_atom_site_type_symbol
_atom_site_fract_x
_atom_site_fract_y
_atom_site_fract_z
Rb1 Rb 0.000 0.500 0.250
Re1 Re 0.000 0.000 0.000
P1 P 0.000 0.000 0.500
Br1 Br 0.000 0.000 0.221
Br2 Br 0.242 0.242 0.000
# - E_tot (eV/atom) = -3.4971

4.
# Rb2PRuBr6, relaxed, DFT PBE
data_Rb2PRuBr6
_chemical_formula_sum 'Rb4 P2 Ru2 Br12'
_cell_length_a 7.507
_cell_length_b 7.507
_cell_length_c 10.636
_cell_angle_alpha 90.00
_cell_angle_beta 90.00
_cell_angle_gamma 90.00
_space_group_name_H-M_alt 'I 4/m m m'
_space_group_IT_number 139
_space_group_name_Hall '-I 4 2'
loop_
_atom_site_label
_atom_site_type_symbol
_atom_site_fract_x
_atom_site_fract_y
_atom_site_fract_z
Rb1 Rb 0.000 0.500 0.250
P1 P 0.000 0.000 0.000
Ru1 Ru 0.000 0.000 0.500
Br1 Br 0.000 0.000 0.255
Br2 Br 0.246 0.246 0.500
# - E_tot (eV/atom) = -3.2820

5.
# Rb5PS4Br2, relaxed, DFT PBE
data_Rb5PS4Br2
_chemical_formula_sum 'Rb10 P2 S8 Br4'
_cell_length_a 9.956
_cell_length_b 11.283
_cell_length_c 8.216
_cell_angle_alpha 90.00
_cell_angle_beta 90.00
_cell_angle_gamma 90.00
_space_group_name_H-M_alt 'A m m 2'
_space_group_IT_number 38
loop_
_space_group_symop_operation_xyz
'x,y,z'
'-x,-y,z'
'-x,y,z'
'x,-y,z'
'x,y+1/2,z+1/2'
'-x,-y+1/2,z+1/2'
'-x,y+1/2,z+1/2'
'x,-y+1/2,z+1/2'
loop_
_atom_site_label
_atom_site_type_symbol
_atom_site_fract_x
_atom_site_fract_y
_atom_site_fract_z
Rb1 Rb 0.000 0.000 0.000
Rb2 Rb 0.275 0.201 0.492
P1 P 0.500 0.000 0.943
S1 S 0.332 0.000 0.091
S2 S 0.500 0.148 0.794
Br1 Br 0.000 0.242 0.742
# - E_tot (eV/atom) = -3.7053

6.
# RbPS2Br, relaxed, DFT PBE
data_RbPS2Br
_chemical_formula_sum 'Rb1 P1 S2 Br1'
_cell_length_a 5.220
_cell_length_b 5.220
_cell_length_c 5.083
_cell_angle_alpha 90.00
_cell_angle_beta 90.00
_cell_angle_gamma 90.00
_space_group_name_H-M_alt 'P 4/m m m'
_space_group_IT_number 123
_space_group_name_Hall '-P 4 2'
loop_
_atom_site_label
_atom_site_type_symbol
_atom_site_fract_x
_atom_site_fract_y
_atom_site_fract_z
Rb1 Rb 0.000 0.000 0.000
P1 P 0.500 0.500 0.000
S1 S 0.000 0.500 0.500
Br1 Br 0.500 0.500 0.500
# - E_tot (eV/atom) = -2.6560

7.
# RbPS2Br, relaxed, DFT PBE
data_RbPS2Br
_chemical_formula_sum 'Rb1 P1 S2 Br1'
_cell_length_a 6.296
_cell_length_b 6.296
_cell_length_c 6.745
_cell_angle_alpha 90.00
_cell_angle_beta 90.00
_cell_angle_gamma 90.00
_space_group_name_H-M_alt 'P 4/m m m'
_space_group_IT_number 123
_space_group_name_Hall '-P 4 2'
loop_
_atom_site_label
_atom_site_type_symbol
_atom_site_fract_x
_atom_site_fract_y
_atom_site_fract_z
Rb1 Rb 0.000 0.000 0.000
P1 P 0.000 0.000 0.500
S1 S 0.000 0.500 0.000
Br1 Br 0.500 0.500 0.500
# - E_tot (eV/atom) = -1.7334

8.
# Rb2ScPBr6, relaxed, DFT PBE
data_Rb2ScPBr6
_chemical_formula_sum 'Rb4 Sc2 P2 Br12'
_cell_length_a 7.443
_cell_length_b 7.443
_cell_length_c 12.838
_cell_angle_alpha 90.00
_cell_angle_beta 90.00
_cell_angle_gamma 90.00
_space_group_name_H-M_alt 'I 4/m m m'
_space_group_IT_number 139
_space_group_name_Hall '-I 4 2'
loop_
_atom_site_label
_atom_site_type_symbol
_atom_site_fract_x
_atom_site_fract_y
_atom_site_fract_z
Rb1 Rb 0.000 0.500 0.250
Sc1 Sc 0.000 0.000 0.000
P1 P 0.000 0.000 0.500
Br1 Br 0.000 0.000 0.207
Br2 Br 0.246 0.246 0.500
# - E_tot (eV/atom) = -3.5323

9.
# Rb2TaPBr6, relaxed, DFT PBE
data_Rb2TaPBr6
_chemical_formula_sum 'Rb4 Ta2 P2 Br12'
_cell_length_a 8.561
_cell_length_b 8.561
_cell_length_c 10.116
_cell_angle_alpha 90.00
_cell_angle_beta 90.00
_cell_angle_gamma 90.00
_space_group_name_H-M_alt 'I 4/m m m'
_space_group_IT_number 139
_space_group_name_Hall '-I 4 2'
loop_
_atom_site_label
_atom_site_type_symbol
_atom_site_fract_x
_atom_site_fract_y
_atom_site_fract_z
Rb1 Rb 0.000 0.500 0.250
Ta1 Ta 0.000 0.000 0.000
P1 P 0.000 0.000 0.500
Br1 Br 0.000 0.000 0.254
Br2 Br 0.215 0.215 0.000
# - E_tot (eV/atom) = -3.6722

10.
# Rb2TiPBr6, relaxed, DFT PBE
data_Rb2TiPBr6
_chemical_formula_sum 'Rb4 Ti2 P2 Br12'
_cell_length_a 7.380
_cell_length_b 7.380
_cell_length_c 12.465
_cell_angle_alpha 90.00
_cell_angle_beta 90.00
_cell_angle_gamma 90.00
_space_group_name_H-M_alt 'I 4/m m m'
_space_group_IT_number 139
_space_group_name_Hall '-I 4 2'
loop_
_atom_site_label
_atom_site_type_symbol
_atom_site_fract_x
_atom_site_fract_y
_atom_site_fract_z
Rb1 Rb 0.000 0.500 0.250
Ti1 Ti 0.000 0.000 0.000
P1 P 0.000 0.000 0.500
Br1 Br 0.000 0.000 0.208
Br2 Br 0.248 0.248 0.500
# - E_tot (eV/atom) = -3.4827

11.
# Rb2TlPBr6, relaxed, DFT PBE
data_Rb2TlPBr6
_chemical_formula_sum 'Rb8 Tl4 P4 Br24'
_cell_length_a 11.389
_cell_length_b 11.389
_cell_length_c 11.389
_cell_angle_alpha 90.00
_cell_angle_beta 90.00
_cell_angle_gamma 90.00
_space_group_name_H-M_alt 'F m -3 m'
_space_group_IT_number 225
_space_group_name_Hall '-F 4 2 3'
loop_
_atom_site_label
_atom_site_type_symbol
_atom_site_fract_x
_atom_site_fract_y
_atom_site_fract_z
Rb1 Rb 0.250 0.250 0.250
Tl1 Tl 0.000 0.000 0.000
P1 P 0.000 0.000 0.500
Br1 Br 0.000 0.000 0.273
# - E_tot (eV/atom) = -2.9322

12.
# RbTl2PBr6, relaxed, DFT PBE
data_RbTl2PBr6
_chemical_formula_sum 'Rb3 Tl6 P3 Br18'
_cell_length_a 7.9153
_cell_length_b 7.9153
_cell_length_c 23.5143
_cell_angle_alpha 90.00
_cell_angle_beta 90.00
_cell_angle_gamma 120.00
_space_group_name_H-M_alt 'R 3'
_space_group_IT_number 146
_space_group_name_Hall 'R 3'
loop_
_atom_site_label
_atom_site_type_symbol
_atom_site_fract_x
_atom_site_fract_y
_atom_site_fract_z
Rb1 Rb 0.0000 0.0000 0.0000
Tl1 Tl 0.0000 0.0000 0.2183
Tl2 Tl 0.0000 0.0000 0.7237
P1 P 0.0000 0.0000 0.3875
Br1 Br 0.0136 0.5820 0.9735
Br2 Br 0.1246 0.3787 0.1080
# - E_tot (eV/atom) = -2.8949

13.
# Rb2TlPBr6, relaxed, DFT PBE
data_Rb2TlPBr6
_chemical_formula_sum 'Rb4 Tl2 P2 Br12'
_cell_length_a 7.877
_cell_length_b 8.186
_cell_length_c 13.752
_cell_angle_alpha 90.00
_cell_angle_beta 124.50
_cell_angle_gamma 90.00
_space_group_name_H-M_alt 'P 1 21/c 1'
_space_group_IT_number 14
loop_
_space_group_symop_operation_xyz
'x,y,z'
'-x,-y,-z'
'-x,y+1/2,-z+1/2'
'x,-y+1/2,z+1/2'
loop_
_atom_site_label
_atom_site_type_symbol
_atom_site_fract_x
_atom_site_fract_y
_atom_site_fract_z
Rb1 Rb 0.229 0.065 0.248
Tl1 Tl 0.500 0.000 0.000
P1 P 0.000 0.000 0.500
Br1 Br 0.134 0.235 0.959
Br2 Br 0.228 0.678 0.960
Br3 Br 0.300 0.015 0.722
# - E_tot (eV/atom) = -2.9471

14.
# Rb2VPBr6, relaxed, DFT PBE
data_Rb2VPBr6
_chemical_formula_sum 'Rb4 V2 P2 Br12'
_cell_length_a 7.374
_cell_length_b 7.374
_cell_length_c 12.066
_cell_angle_alpha 90.00
_cell_angle_beta 90.00
_cell_angle_gamma 90.00
_space_group_name_H-M_alt 'I 4/m m m'
_space_group_IT_number 139
_space_group_name_Hall '-I 4 2'
loop_
_atom_site_label
_atom_site_type_symbol
_atom_site_fract_x
_atom_site_fract_y
_atom_site_fract_z
Rb1 Rb 0.000 0.500 0.250
V1 V 0.000 0.000 0.000
P1 P 0.000 0.000 0.500
Br1 Br 0.000 0.000 0.210
Br2 Br 0.249 0.249 0.000
# - E_tot (eV/atom) = -3.4210

15.
# Rb2PWBr6, relaxed, DFT PBE
data_Rb2PWBr6
_chemical_formula_sum 'Rb4 P2 W2 Br12'
_cell_length_a 8.455
_cell_length_b 8.455
_cell_length_c 10.099
_cell_angle_alpha 90.00
_cell_angle_beta 90.00
_cell_angle_gamma 90.00
_space_group_name_H-M_alt 'I 4/m m m'
_space_group_IT_number 139
_space_group_name_Hall '-I 4 2'
loop_
_atom_site_label
_atom_site_type_symbol
_atom_site_fract_x
_atom_site_fract_y
_atom_site_fract_z
Rb1 Rb 0.000 0.500 0.250
P1 P 0.000 0.000 0.000
W1 W 0.000 0.000 0.500
Br1 Br 0.000 0.000 0.244
Br2 Br 0.217 0.217 0.500
# - E_tot (eV/atom) = -3.6137

16.
# RbYPBr2, relaxed, DFT PBE
data_RbYPBr2
_chemical_formula_sum 'Rb1 Y1 P1 Br2'
_cell_length_a 5.782
_cell_length_b 5.782
_cell_length_c 6.777
_cell_angle_alpha 90.00
_cell_angle_beta 90.00
_cell_angle_gamma 90.00
_space_group_name_H-M_alt 'P 4/m m m'
_space_group_IT_number 123
_space_group_name_Hall '-P 4 2'
loop_
_atom_site_label
_atom_site_type_symbol
_atom_site_fract_x
_atom_site_fract_y
_atom_site_fract_z
Rb1 Rb 0.000 0.000 0.000
Y1 Y 0.000 0.000 0.500
P1 P 0.500 0.500 0.500
Br1 Br 0.000 0.500 0.000
# - E_tot (eV/atom) = -2.6302

17.
# Rb2YPBr6, relaxed, DFT PBE
data_Rb2YPBr6
_chemical_formula_sum 'Rb4 Y2 P2 Br12'
_cell_length_a 7.625
_cell_length_b 7.625
_cell_length_c 13.208
_cell_angle_alpha 90.00
_cell_angle_beta 90.00
_cell_angle_gamma 90.00
_space_group_name_H-M_alt 'I 4/m m m'
_space_group_IT_number 139
_space_group_name_Hall '-I 4 2'
loop_
_atom_site_label
_atom_site_type_symbol
_atom_site_fract_x
_atom_site_fract_y
_atom_site_fract_z
Rb1 Rb 0.000 0.500 0.250
Y1 Y 0.000 0.000 0.000
P1 P 0.000 0.000 0.500
Br1 Br 0.000 0.000 0.212
Br2 Br 0.241 0.241 0.500
# - E_tot (eV/atom) = -3.6054

18.
# Rb2ZnPBr6, relaxed, DFT PBE
data_Rb2ZnPBr6
_chemical_formula_sum 'Rb4 Zn2 P2 Br12'
_cell_length_a 7.704
_cell_length_b 7.704
_cell_length_c 10.585
_cell_angle_alpha 90.00
_cell_angle_beta 90.00
_cell_angle_gamma 90.00
_space_group_name_H-M_alt 'I 4/m m m'
_space_group_IT_number 139
_space_group_name_Hall '-I 4 2'
loop_
_atom_site_label
_atom_site_type_symbol
_atom_site_fract_x
_atom_site_fract_y
_atom_site_fract_z
Rb1 Rb 0.000 0.500 0.250
Zn1 Zn 0.000 0.000 0.000
P1 P 0.000 0.000 0.500
Br1 Br 0.000 0.000 0.238
Br2 Br 0.238 0.238 0.500
# - E_tot (eV/atom) = -2.7578

19.
# Re4PBr, relaxed, DFT PBE
data_Re4PBr
_chemical_formula_sum 'Re16 P4 Br4'
_cell_length_a 7.460
_cell_length_b 7.460
_cell_length_c 7.460
_cell_angle_alpha 90.00
_cell_angle_beta 90.00
_cell_angle_gamma 90.00
_space_group_name_H-M_alt 'F -4 3 m'
_space_group_IT_number 216
_space_group_name_Hall 'F -4 2 3'
loop_
_atom_site_label
_atom_site_type_symbol
_atom_site_fract_x
_atom_site_fract_y
_atom_site_fract_z
Re1 Re 0.125 0.125 0.125
P1 P 0.000 0.000 0.500
Br1 Br 0.250 0.250 0.750
# - E_tot (eV/atom) = -8.0633

20.
# RePBr4, relaxed, DFT PBE
data_RePBr4
_chemical_formula_sum 'Re4 P4 Br16'
_cell_length_a 8.738
_cell_length_b 8.738
_cell_length_c 8.738
_cell_angle_alpha 90.00
_cell_angle_beta 90.00
_cell_angle_gamma 90.00
_space_group_name_H-M_alt 'F -4 3 m'
_space_group_IT_number 216
_space_group_name_Hall 'F -4 2 3'
loop_
_atom_site_label
_atom_site_type_symbol
_atom_site_fract_x
_atom_site_fract_y
_atom_site_fract_z
Re1 Re 0.000 0.000 0.000
P1 P 0.250 0.250 0.250
Br1 Br 0.126 0.126 0.626
# - E_tot (eV/atom) = -2.3215

21.
# Re2PRhBr, relaxed, DFT PBE
data_Re2PRhBr
_chemical_formula_sum 'Re2 P1 Rh1 Br1'
_cell_length_a 4.808
_cell_length_b 4.808
_cell_length_c 4.826
_cell_angle_alpha 90.00
_cell_angle_beta 90.00
_cell_angle_gamma 90.00
_space_group_name_H-M_alt 'P 4/m m m'
_space_group_IT_number 123
_space_group_name_Hall '-P 4 2'
loop_
_atom_site_label
_atom_site_type_symbol
_atom_site_fract_x
_atom_site_fract_y
_atom_site_fract_z
Re1 Re 0.000 0.500 0.000
P1 P 0.000 0.000 0.500
Rh1 Rh 0.500 0.500 0.000
Br1 Br 0.500 0.500 0.500
# - E_tot (eV/atom) = -5.6308

22.
# ReP2SBr, relaxed, DFT PBE
data_ReP2SBr
_chemical_formula_sum 'Re1 P2 S1 Br1'
_cell_length_a 4.724
_cell_length_b 4.724
_cell_length_c 4.550
_cell_angle_alpha 90.00
_cell_angle_beta 90.00
_cell_angle_gamma 90.00
_space_group_name_H-M_alt 'P 4/m m m'
_space_group_IT_number 123
_space_group_name_Hall '-P 4 2'
loop_
_atom_site_label
_atom_site_type_symbol
_atom_site_fract_x
_atom_site_fract_y
_atom_site_fract_z
Re1 Re 0.000 0.000 0.000
P1 P 0.000 0.500 0.000
S1 S 0.000 0.000 0.500
Br1 Br 0.500 0.500 0.500
# - E_tot (eV/atom) = -5.3696

23.
# RePS2Br, relaxed, DFT PBE
data_RePS2Br
_chemical_formula_sum 'Re1 P1 S2 Br1'
_cell_length_a 4.548
_cell_length_b 4.548
_cell_length_c 4.917
_cell_angle_alpha 90.00
_cell_angle_beta 90.00
_cell_angle_gamma 90.00
_space_group_name_H-M_alt 'P 4/m m m'
_space_group_IT_number 123
_space_group_name_Hall '-P 4 2'
loop_
_atom_site_label
_atom_site_type_symbol
_atom_site_fract_x
_atom_site_fract_y
_atom_site_fract_z
Re1 Re 0.000 0.000 0.000
P1 P 0.000 0.000 0.500
S1 S 0.000 0.500 0.000
Br1 Br 0.500 0.500 0.500
# - E_tot (eV/atom) = -5.1889

24.
# ReP2SBr, relaxed, DFT PBE
data_ReP2SBr
_chemical_formula_sum 'Re1 P2 S1 Br1'
_cell_length_a 4.825
_cell_length_b 4.825
_cell_length_c 4.563
_cell_angle_alpha 90.00
_cell_angle_beta 90.00
_cell_angle_gamma 90.00
_space_group_name_H-M_alt 'P 4/m m m'
_space_group_IT_number 123
_space_group_name_Hall '-P 4 2'
loop_
_atom_site_label
_atom_site_type_symbol
_atom_site_fract_x
_atom_site_fract_y
_atom_site_fract_z
Re1 Re 0.000 0.000 0.000
P1 P 0.000 0.500 0.500
S1 S 0.500 0.500 0.000
Br1 Br 0.500 0.500 0.500
# - E_tot (eV/atom) = -3.6832

One value per record, in order, for formation energy from raw total energies: -548 55 -514 -616 -1197 605 1528 -1161 -749 -955 -957 -780 -972 -771 -580 607 -1221 -892 1416 1770 2235 444 368 2130 meV per atom.